VASP calculation (PBE) on a geometry-optimized Sr3GeP structure.

abc: 5.7592 5.7592 5.7592
angles: 90.00 90.00 90.00
With the nearest neighbours (Å) after each atom.
Space group Pm-3m (No. 221)
Symmetry-distinct sites (fractional):
Sr1 0.0000 0.0000 0.5000 (multiplicity 3)  2 P 2.88
Ge1 0.5000 0.5000 0.5000 (multiplicity 1)  12 Sr 4.07
P1 0.0000 0.0000 0.0000 (multiplicity 1)  6 Sr 2.88

Summary:
E above lowest polymorph (eV per atom): 0.000
Crystal system: cubic
Raw total energy (eV/cell): -17.6
Formation energy from the elements (eV/atom): -0.51

=====

VASP calculation (PBE) on a geometry-optimized V2As2W structure.

abc: 6.8188 6.8188 3.1701
angles: 90.00 90.00 90.00
With the nearest neighbours (Å) after each atom.
Space group P4/mbm (No. 127)
Symmetry-distinct sites (fractional):
V1 0.1433 0.3567 0.0000 (multiplicity 4)  6 As 2.54-2.56, 1 V 2.76
As1 0.1512 0.6512 0.5000 (multiplicity 4)  6 V 2.54-2.56, 2 W 2.59
W1 0.0000 0.0000 0.5000 (multiplicity 2)  4 As 2.59

Summary:
E above lowest polymorph (eV per atom): 0.000
Crystal system: tetragonal
Raw total energy (eV/cell): -81.8
Formation energy from the elements (eV/atom): -0.08

=====

VASP calculation (PBE) on a geometry-optimized PaSeI3 structure.

abc: 8.1695 8.0827 14.8974
angles: 90.00 97.21 90.00
With the nearest neighbours (Å) after each atom.
Space group P2/c (No. 13)
Symmetry-distinct sites (fractional):
Pa1 0.0755 0.1159 0.1420 (multiplicity 4)  2 Se 2.88-2.95, 5 I 2.94-3.20
Se1 0.1344 0.3597 0.2900 (multiplicity 4)  1 Se 2.36
I1 0.1433 0.2094 0.5370 (multiplicity 4)  2 Pa 3.11-3.14
I2 0.2347 0.0879 0.8059 (multiplicity 4)  2 Pa 3.09-3.20
I3 0.3677 0.2673 0.0792 (multiplicity 4)  1 Pa 2.94

Summary:
Formation energy without anion corrections (eV/atom): -0.92
Crystal system: monoclinic
Raw total energy (eV/cell): -89.0

=====

VASP calculation (PBE) on a geometry-optimized Tb3Sc5S12 structure.

abc: 15.5433 15.5433 15.5433
angles: 90.00 90.00 90.00
With the nearest neighbours (Å) after each atom.
Space group Ia-3d (No. 230)
Symmetry-distinct sites (fractional):
Tb1 0.0000 0.2500 0.1250 (multiplicity 24)  8 S 2.93-2.96
Sc1 0.0000 0.0000 0.0000 (multiplicity 16)  6 S 2.59
Sc2 0.0000 0.2500 0.3750 (multiplicity 24)  4 S 2.41
S1 0.0243 0.0649 0.6515 (multiplicity 96)  2 Sc 2.41-2.59

Summary:
Formation energy without anion corrections (eV/atom): -1.84
Crystal system: cubic
Raw total energy (eV/cell): -1054.6

=====

Question: The highest raw total energy belongs to which entry?
Answer: Sr3GeP

=====

Question: Look up the raw total energy of the second one.
Answer: -81.8 eV/cell

=====

Copy entry 3 word for word.
VASP calculation (PBE) on a geometry-optimized PaSeI3 structure.

abc: 8.1695 8.0827 14.8974
angles: 90.00 97.21 90.00
With the nearest neighbours (Å) after each atom.
Space group P2/c (No. 13)
Symmetry-distinct sites (fractional):
Pa1 0.0755 0.1159 0.1420 (multiplicity 4)  2 Se 2.88-2.95, 5 I 2.94-3.20
Se1 0.1344 0.3597 0.2900 (multiplicity 4)  1 Se 2.36
I1 0.1433 0.2094 0.5370 (multiplicity 4)  2 Pa 3.11-3.14
I2 0.2347 0.0879 0.8059 (multiplicity 4)  2 Pa 3.09-3.20
I3 0.3677 0.2673 0.0792 (multiplicity 4)  1 Pa 2.94

Summary:
Formation energy without anion corrections (eV/atom): -0.92
Crystal system: monoclinic
Raw total energy (eV/cell): -89.0

=====

Question: raw total energy of number 1 (Sr3GeP)?
Answer: -17.6 eV/cell